[1]
## CsAlCu2Te4 (PBE)

Data for an optimized crystal structure of CsAlCu2Te4.

Total moment ... 0.0 μB/cell
Density of states at the Fermi level ... 6.566 states/eV/f.u.
Formation energy from raw total energies ... -0.221 eV per atom

abc: 6.9200 9.1357 9.6566
angles: 90.00 90.00 90.00
Last column: nearest neighbours and their distance in Å.
Sites, in units of the cell vectors:
Cs: 0.0000 0.0000 0.0000  8 Te 3.92-3.99
Cs: 0.5000 0.5000 0.5000  8 Te 3.92-3.99
Al: 0.0000 0.5000 0.0000  4 Te 2.64
Al: 0.5000 0.0000 0.5000  4 Te 2.64
Cu: 0.0000 0.1303 0.5000  1 Cu 2.38, 2 Te 2.46
Cu: 0.0000 0.8697 0.5000  1 Cu 2.38, 2 Te 2.46
Cu: 0.5000 0.3697 0.0000  1 Cu 2.38, 2 Te 2.46
Cu: 0.5000 0.6303 0.0000  1 Cu 2.38, 2 Te 2.46
Te: 0.2343 0.3570 0.8314  1 Cu 2.46, 1 Al 2.64
Te: 0.2343 0.6430 0.1686  1 Cu 2.46, 1 Al 2.64
Te: 0.2657 0.1430 0.3314  1 Cu 2.46, 1 Al 2.64
Te: 0.2657 0.8570 0.6686  1 Cu 2.46, 1 Al 2.64
Te: 0.7343 0.1430 0.6686  1 Cu 2.46, 1 Al 2.64
Te: 0.7343 0.8570 0.3314  1 Cu 2.46, 1 Al 2.64
Te: 0.7657 0.3570 0.1686  1 Cu 2.46, 1 Al 2.64
Te: 0.7657 0.6430 0.8314  1 Cu 2.46, 1 Al 2.64

[2]
## Cs2AlCu2Te4 (PBE)

Data for an optimized crystal structure of Cs2AlCu2Te4.

Total moment ... 0.0 μB/cell
Density of states at the Fermi level ... 2.496 states/eV/f.u.
Formation energy from raw total energies ... -0.516 eV per atom

abc: 7.6577 7.6577 11.1300
angles: 112.16 112.16 30.16
Last column: nearest neighbours and their distance in Å.
Sites, in units of the cell vectors:
Cs: 0.1731 0.1731 0.1713  8 Te 3.93-4.15, 2 Cs 3.98, 3 Cu 4.10-4.36
Cs: 0.8269 0.8269 0.8287  8 Te 3.93-4.15, 2 Cs 3.98, 3 Cu 4.10-4.36
Al: 0.5000 0.5000 0.5000  4 Cu 2.74, 4 Te 2.79
Cu: 0.0417 0.0417 0.6822  4 Te 2.57-2.75, 2 Al 2.74
Cu: 0.9583 0.9583 0.3178  4 Te 2.57-2.75, 2 Al 2.74
Te: 0.1384 0.1384 0.5235  2 Cu 2.67-2.75, 2 Al 2.79
Te: 0.4367 0.4367 0.1631  2 Cu 2.57
Te: 0.5633 0.5633 0.8369  2 Cu 2.57
Te: 0.8616 0.8616 0.4765  2 Cu 2.67-2.75, 2 Al 2.79

[3]
## CsAl2CuW (PBE)

Data for an optimized crystal structure of CsAl2CuW.

Total moment ... 4.1 μB/cell
Density of states at the Fermi level ... 3.827 states/eV/f.u.
Calculated formation energy ... 2752 meV per atom

abc: 5.6687 5.6687 5.0592
angles: 90.00 90.00 90.00
Last column: nearest neighbours and their distance in Å.
Sites, in units of the cell vectors:
Cs: 0.0000 0.0000 0.0000  2 Cu 2.53
Al: 0.0000 0.5000 0.0000  2 Cs 2.83
Al: 0.5000 0.0000 0.0000  2 Cs 2.83
Cu: 0.0000 0.0000 0.5000  2 Cs 2.53
W: 0.5000 0.5000 0.5000  8 Al 3.80, 4 Cu 4.01

[4]
## CsZr2AlCu (PBE)

Data for an optimized crystal structure of CsZr2AlCu.

Total moment ... 0.0 μB/cell
Density of states at the Fermi level ... 6.306 states/eV/f.u.
Calculated formation energy ... 801 meV per atom

abc: 5.2272 5.2272 4.6756
angles: 90.00 90.00 90.00
Last column: nearest neighbours and their distance in Å.
Sites, in units of the cell vectors:
Cs: 0.0000 0.0000 0.0000  8 Zr 3.51, 4 Al 3.70
Zr: 0.0000 0.5000 0.5000  2 Cu 2.61
Zr: 0.5000 0.0000 0.5000  2 Cu 2.61
Al: 0.5000 0.5000 0.0000  2 Cu 2.34
Cu: 0.5000 0.5000 0.5000  2 Al 2.34, 4 Zr 2.61

[5]
## Cs3DyAl2O6 (PBE)

Data for an optimized crystal structure of Cs3DyAl2O6.

Total moment ... 0.0 μB/cell
Density of states at the Fermi level ... 0.000 states/eV/f.u.
Formation energy from raw total energies ... -2.367 eV per atom

abc: 6.1775 6.1775 7.7195
angles: 90.00 90.00 120.00
Last column: nearest neighbours and their distance in Å.
Sites, in units of the cell vectors:
Cs: 0.0000 0.0000 0.0000  6 O 3.09
Cs: 0.3333 0.6667 0.7622  6 O 3.15, 1 Al 3.39
Cs: 0.6667 0.3333 0.2378  6 O 3.15, 1 Al 3.39
Dy: 0.0000 0.0000 0.5000  6 O 2.31
Al: 0.3333 0.6667 0.3235  3 O 1.72
Al: 0.6667 0.3333 0.6765  3 O 1.72
O: 0.1729 0.3459 0.3199  1 Al 1.72
O: 0.1729 0.8271 0.3199  1 Al 1.72
O: 0.3459 0.1729 0.6801  1 Al 1.72
O: 0.6541 0.8271 0.3199  1 Al 1.72
O: 0.8271 0.1729 0.6801  1 Al 1.72
O: 0.8271 0.6541 0.6801  1 Al 1.72

[6]
## Cs4Dy3AlO8 (PBE)

Data for an optimized crystal structure of Cs4Dy3AlO8.

Total moment ... 0.0 μB/cell
Density of states at the Fermi level ... 0.000 states/eV/f.u.
Formation energy from raw total energies ... -2.394 eV per atom

abc: 7.9122 7.9122 7.9122
angles: 51.91 51.91 51.91
Last column: nearest neighbours and their distance in Å.
Sites, in units of the cell vectors:
Cs: 0.0000 0.0000 0.0000  6 O 3.19, 6 Cs 3.46
Cs: 0.0000 0.5000 0.5000  6 O 3.03-3.04
Cs: 0.5000 0.0000 0.5000  6 O 3.03-3.04
Cs: 0.5000 0.5000 0.0000  6 O 3.03-3.04
Dy: 0.0000 0.0000 0.5000  6 O 2.29-2.35
Dy: 0.0000 0.5000 0.0000  6 O 2.29-2.35
Dy: 0.5000 0.0000 0.0000  6 O 2.29-2.35
Al: 0.5000 0.5000 0.5000  6 O 2.13
O: 0.2212 0.2212 0.2212  3 Dy 2.29
O: 0.2467 0.7054 0.7054  1 Al 2.13, 2 Dy 2.35
O: 0.2946 0.2946 0.7533  1 Al 2.13, 2 Dy 2.35
O: 0.2946 0.7533 0.2946  1 Al 2.13, 2 Dy 2.35
O: 0.7054 0.2467 0.7054  1 Al 2.13, 2 Dy 2.35
O: 0.7054 0.7054 0.2467  1 Al 2.13, 2 Dy 2.35
O: 0.7533 0.2946 0.2946  1 Al 2.13, 2 Dy 2.35
O: 0.7788 0.7788 0.7788  3 Dy 2.29

[7]
## Cs3Dy3AlS8 (PBE)

Data for an optimized crystal structure of Cs3Dy3AlS8.

Total moment ... 0.0 μB/cell
Density of states at the Fermi level ... 12.690 states/eV/f.u.
Formation energy from raw total energies ... -1.547 eV per atom

abc: 9.4095 9.4095 9.4095
angles: 49.81 49.81 49.81
Last column: nearest neighbours and their distance in Å.
Sites, in units of the cell vectors:
Cs: 0.0000 0.5000 0.5000  6 S 3.47-3.50
Cs: 0.5000 0.0000 0.5000  6 S 3.47-3.50
Cs: 0.5000 0.5000 0.0000  6 S 3.47-3.50
Dy: 0.0000 0.0000 0.5000  6 S 2.73-2.76
Dy: 0.0000 0.5000 0.0000  6 S 2.73-2.76
Dy: 0.5000 0.0000 0.0000  6 S 2.73-2.76
Al: 0.5000 0.5000 0.5000  6 S 2.52
S: 0.2274 0.2274 0.2274  3 Dy 2.73
S: 0.2499 0.7095 0.7095  1 Al 2.52, 2 Dy 2.76
S: 0.2905 0.2905 0.7501  1 Al 2.52, 2 Dy 2.76
S: 0.2905 0.7501 0.2905  1 Al 2.52, 2 Dy 2.76
S: 0.7095 0.2499 0.7095  1 Al 2.52, 2 Dy 2.76
S: 0.7095 0.7095 0.2499  1 Al 2.52, 2 Dy 2.76
S: 0.7501 0.2905 0.2905  1 Al 2.52, 2 Dy 2.76
S: 0.7726 0.7726 0.7726  3 Dy 2.73

[8]
## CsDyAlS4 (PBE)

Data for an optimized crystal structure of CsDyAlS4.

Total moment ... 0.3 μB/cell
Density of states at the Fermi level ... 1.636 states/eV/f.u.
Formation energy from raw total energies ... -1.388 eV per atom

abc: 6.8970 5.7009 9.9149
angles: 90.00 104.58 90.00
Last column: nearest neighbours and their distance in Å.
Sites, in units of the cell vectors:
Cs: 0.2467 0.2500 0.0378  7 S 3.40-3.78
Cs: 0.7533 0.7500 0.9622  7 S 3.40-3.78
Dy: 0.2527 0.2500 0.5558  8 S 2.74-3.06
Dy: 0.7473 0.7500 0.4442  8 S 2.74-3.06
Al: 0.2575 0.7500 0.3403  4 S 2.20-2.29
Al: 0.7425 0.2500 0.6597  4 S 2.20-2.29
S: 0.0006 0.0141 0.3101  1 Al 2.29
S: 0.0006 0.4859 0.3101  1 Al 2.29
S: 0.4176 0.7500 0.5655  1 Al 2.23
S: 0.4555 0.7500 0.1981  1 Al 2.20
S: 0.5445 0.2500 0.8019  1 Al 2.20
S: 0.5824 0.2500 0.4345  1 Al 2.23
S: 0.9994 0.5141 0.6899  1 Al 2.29
S: 0.9994 0.9859 0.6899  1 Al 2.29

[9]
## Cs2DyAlSe4 (PBE)

Data for an optimized crystal structure of Cs2DyAlSe4.

Total moment ... 0.0 μB/cell
Density of states at the Fermi level ... 0.000 states/eV/f.u.
Formation energy from raw total energies ... -1.351 eV per atom

abc: 15.3285 13.7217 8.2136
angles: 84.71 63.05 32.25
Last column: nearest neighbours and their distance in Å.
Sites, in units of the cell vectors:
Cs: 0.0544 0.0544 0.6956  8 Se 3.85-4.18
Cs: 0.3044 0.3044 0.9456  8 Se 3.85-4.18
Cs: 0.6956 0.6956 0.0544  8 Se 3.85-4.18
Cs: 0.9456 0.9456 0.3044  8 Se 3.85-4.18
Dy: 0.1250 0.1250 0.1250  4 Se 2.70
Dy: 0.8750 0.8750 0.8750  4 Se 2.70
Al: 0.3750 0.3750 0.3750  4 Se 2.44
Al: 0.6250 0.6250 0.6250  4 Se 2.44
Se: 0.0095 0.6372 0.5490  1 Al 2.44, 1 Dy 2.70
Se: 0.3043 0.5490 0.6372  1 Al 2.44, 1 Dy 2.70
Se: 0.3628 0.9905 0.6957  1 Al 2.44, 1 Dy 2.70
Se: 0.4510 0.6957 0.9905  1 Al 2.44, 1 Dy 2.70
Se: 0.5490 0.3043 0.0095  1 Al 2.44, 1 Dy 2.70
Se: 0.6372 0.0095 0.3043  1 Al 2.44, 1 Dy 2.70
Se: 0.6957 0.4510 0.3628  1 Al 2.44, 1 Dy 2.70
Se: 0.9905 0.3628 0.4510  1 Al 2.44, 1 Dy 2.70

Question: total moment of number 5 (Cs3DyAl2O6)?
Answer: 0.0 μB/cell

What did the eighth record say?
## CsDyAlS4 (PBE)

Data for an optimized crystal structure of CsDyAlS4.

Total moment ... 0.3 μB/cell
Density of states at the Fermi level ... 1.636 states/eV/f.u.
Formation energy from raw total energies ... -1.388 eV per atom

abc: 6.8970 5.7009 9.9149
angles: 90.00 104.58 90.00
Last column: nearest neighbours and their distance in Å.
Sites, in units of the cell vectors:
Cs: 0.2467 0.2500 0.0378  7 S 3.40-3.78
Cs: 0.7533 0.7500 0.9622  7 S 3.40-3.78
Dy: 0.2527 0.2500 0.5558  8 S 2.74-3.06
Dy: 0.7473 0.7500 0.4442  8 S 2.74-3.06
Al: 0.2575 0.7500 0.3403  4 S 2.20-2.29
Al: 0.7425 0.2500 0.6597  4 S 2.20-2.29
S: 0.0006 0.0141 0.3101  1 Al 2.29
S: 0.0006 0.4859 0.3101  1 Al 2.29
S: 0.4176 0.7500 0.5655  1 Al 2.23
S: 0.4555 0.7500 0.1981  1 Al 2.20
S: 0.5445 0.2500 0.8019  1 Al 2.20
S: 0.5824 0.2500 0.4345  1 Al 2.23
S: 0.9994 0.5141 0.6899  1 Al 2.29
S: 0.9994 0.9859 0.6899  1 Al 2.29